1.
# PBE-GGA BaSiTe4, optimized geometry
# DOS at the Fermi energy: 14.9 states/eV per cell
# ΔE_f (raw): 0.09 eV per atom
# theoretical density: 5.835 g cm⁻³
# VASP energy: -19.39 eV per formula unit
data_BaSiTe4
_chemical_formula_sum 'Ba4 Si4 Te16'
_cell_length_a 9.163
_cell_length_b 9.163
_cell_length_c 9.163
_cell_angle_alpha 90.00
_cell_angle_beta 90.00
_cell_angle_gamma 90.00
_space_group_name_H-M_alt 'F -4 3 m'
_space_group_IT_number 216
_space_group_name_Hall 'F -4 2 3'
loop_
_atom_site_label
_atom_site_fract_x
_atom_site_fract_y
_atom_site_fract_z
Ba1 0.000 0.000 0.000
Si1 0.250 0.250 0.750
Te1 0.124 0.124 0.376



2.
# PBE-GGA BaSiTe2, optimized geometry
# DOS at the Fermi energy: 5.4 states/eV per cell
# ΔE_f (raw): -0.31 eV per atom
# theoretical density: 5.179 g cm⁻³
# VASP energy: -14.88 eV per formula unit
data_BaSiTe2
_chemical_formula_sum 'Ba2 Si2 Te4'
_cell_length_a 5.276
_cell_length_b 5.380
_cell_length_c 9.502
_cell_angle_alpha 90.00
_cell_angle_beta 90.00
_cell_angle_gamma 90.00
_space_group_name_H-M_alt 'C m m 2'
_space_group_IT_number 35
loop_
_space_group_symop_operation_xyz
'x,y,z'
'-x,-y,z'
'-x,y,z'
'x,-y,z'
'x+1/2,y+1/2,z'
'-x+1/2,-y+1/2,z'
'-x+1/2,y+1/2,z'
'x+1/2,-y+1/2,z'
loop_
_atom_site_label
_atom_site_fract_x
_atom_site_fract_y
_atom_site_fract_z
Ba1 0.000 0.000 0.000
Si1 0.000 0.500 0.266
Te1 0.000 0.000 0.374
Te2 0.000 0.500 0.763



3.
# PBE-GGA Ba2SiTe, optimized geometry
# DOS at the Fermi energy: 7.1 states/eV per cell
# ΔE_f (raw): -0.41 eV per atom
# distance to the lowest polymorph of the same formula: 329.5 meV per atom
# theoretical density: 3.138 g cm⁻³
# VASP energy: -14.05 eV per formula unit
data_Ba2SiTe
_chemical_formula_sum 'Ba8 Si4 Te4'
_cell_length_a 7.232
_cell_length_b 7.232
_cell_length_c 17.416
_cell_angle_alpha 90.00
_cell_angle_beta 90.00
_cell_angle_gamma 90.00
_space_group_name_H-M_alt 'I -4 2 d'
_space_group_IT_number 122
_space_group_name_Hall 'I -4 2bw'
loop_
_atom_site_label
_atom_site_fract_x
_atom_site_fract_y
_atom_site_fract_z
Ba1 0.238 0.250 0.125
Si1 0.000 0.000 0.000
Te1 0.000 0.000 0.500



4.
# PBE-GGA BaSiTe, optimized geometry
# DOS at the Fermi energy: 9.3 states/eV per cell
# ΔE_f (raw): -0.10 eV per atom
# distance to the lowest polymorph of the same formula: 378.9 meV per atom
# theoretical density: 4.295 g cm⁻³
# VASP energy: -10.79 eV per formula unit
data_BaSiTe
_chemical_formula_sum 'Ba4 Si4 Te4'
_cell_length_a 7.681
_cell_length_b 7.681
_cell_length_c 7.681
_cell_angle_alpha 90.00
_cell_angle_beta 90.00
_cell_angle_gamma 90.00
_space_group_name_H-M_alt 'F -4 3 m'
_space_group_IT_number 216
_space_group_name_Hall 'F -4 2 3'
loop_
_atom_site_label
_atom_site_fract_x
_atom_site_fract_y
_atom_site_fract_z
Ba1 0.000 0.000 0.000
Si1 0.000 0.000 0.500
Te1 0.250 0.250 0.750



5.
# PBE-GGA Ba2SiTe, optimized geometry
# DOS at the Fermi energy: 2.3 states/eV per cell
# ΔE_f (raw): -0.74 eV per atom
# distance to the lowest polymorph of the same formula: 0.0 meV per atom
# theoretical density: 4.763 g cm⁻³
# VASP energy: -15.37 eV per formula unit
data_Ba2SiTe
_chemical_formula_sum 'Ba4 Si2 Te2'
_cell_length_a 12.299
_cell_length_b 4.734
_cell_length_c 5.212
_cell_angle_alpha 90.00
_cell_angle_beta 98.59
_cell_angle_gamma 90.00
_space_group_name_H-M_alt 'C 1 m 1'
_space_group_IT_number 8
loop_
_space_group_symop_operation_xyz
'x,y,z'
'x,-y,z'
'x+1/2,y+1/2,z'
'x+1/2,-y+1/2,z'
loop_
_atom_site_label
_atom_site_fract_x
_atom_site_fract_y
_atom_site_fract_z
Ba1 0.000 0.000 0.000
Ba2 0.242 0.500 0.540
Si1 0.276 0.000 0.082
Te1 0.457 0.000 0.461



6.
# PBE-GGA BaSiTe2, optimized geometry
# ΔE_f (raw): -0.58 eV per atom
# theoretical density: 4.644 g cm⁻³
# VASP energy: -15.95 eV per formula unit
data_BaSiTe2
_chemical_formula_sum 'Ba1 Si1 Te2'
_cell_length_a 4.626
_cell_length_b 4.626
_cell_length_c 7.028
_cell_angle_alpha 90.00
_cell_angle_beta 90.00
_cell_angle_gamma 90.00
_space_group_name_H-M_alt 'P 4 m m'
_space_group_IT_number 99
loop_
_space_group_symop_operation_xyz
'x,y,z'
'-y,x,z'
'-x,-y,z'
'y,-x,z'
'-x,y,z'
'y,x,z'
'x,-y,z'
'-y,-x,z'
loop_
_atom_site_label
_atom_site_fract_x
_atom_site_fract_y
_atom_site_fract_z
Ba1 0.000 0.000 0.000
Si1 0.500 0.500 0.517
Te1 0.000 0.000 0.492
Te2 0.500 0.500 0.890